# SrLi2CrF8

A relaxed structure of SrLi2CrF8 (PBE with a Hubbard U, Alexandria via LeMat-Bulk).

a = 4.8135 Å, b = 4.8485 Å, c = 7.0049 Å
α = 85.63°, β = 85.76°, γ = 81.78°
Closest atoms and distances in Å follow each position.
Positions (direct):
F 0.7980 0.2100 0.1954  1 Cr 1.89, 1 Li 1.98
F 0.3281 0.3230 0.4953  2 Li 1.94-2.00
F 0.2090 0.7976 0.1967  1 Cr 1.89, 1 Li 1.98
F 0.6719 0.6770 0.5047  2 Li 1.94-2.00
F 0.7910 0.2024 0.8033  1 Cr 1.89, 1 Li 1.98
F 0.2504 0.2475 0.9655  1 Cr 1.81
F 0.2020 0.7900 0.8046  1 Cr 1.89, 1 Li 1.98
F 0.7496 0.7525 0.0345  1 Cr 1.81
Sr 0.0000 0.0000 0.5000  6 F 2.37-2.50
Li 0.5321 0.5319 0.2860  4 F 1.94-2.00
Li 0.4679 0.4681 0.7140  4 F 1.94-2.00
Cr 0.0000 0.0000 0.0000  6 F 1.81-1.89

Calculated values
- energy (Ry/atom) = -0.386
- space group = P-1 (2)
- total moment (μB/f.u.) = 2.00
- volume (Å³/atom) = 13.42